1.
VASP calculation (PBE) on a relaxed SrHOs3 crystal.

Cell and atoms, written as extended XYZ:
```
5
Lattice="4.172 0.000 0.000 0.000 4.172 0.000 0.000 0.000 4.172" Properties=species:S:1:pos:R:3 pbc="T T T"
Sr 0.000 0.000 0.000
H 2.086 2.086 2.086
Os 0.000 2.086 2.086
Os 2.086 0.000 2.086
Os 2.086 2.086 0.000
```

## Properties
Calculated volume, A^3/atom: 14.52
Polymorph energy (0 for the lowest one), meV per atom: 0
Total magnetic moment, Bohr magnetons per cell: 1.0


2.
VASP calculation (PBE) on a relaxed SrH5Os crystal.

Cell and atoms, written as extended XYZ:
```
14
Lattice="6.091 0.000 0.000 0.000 8.010 0.000 0.000 0.000 3.631" Properties=species:S:1:pos:R:3 pbc="T T T"
Sr 0.000 0.000 0.000
Sr 3.045 4.005 1.815
H 0.000 2.308 3.619
H 0.000 4.005 1.815
H 0.000 5.702 3.619
H 1.362 0.000 1.815
H 1.683 4.005 3.630
H 3.045 0.000 3.630
H 3.045 1.697 1.804
H 3.045 6.313 1.804
H 4.407 4.005 3.630
H 4.729 0.000 1.815
Os 0.000 4.005 3.630
Os 3.045 0.000 1.815
```

## Properties
Calculated volume, A^3/atom: 12.65
E_tot, eV/atom: -4.212
Total magnetic moment, Bohr magnetons per cell: 2.0


3.
VASP calculation (PBE) on a relaxed Sr2H6Os crystal.

Cell and atoms, written as extended XYZ:
```
9
Lattice="0.000 3.797 3.797 3.797 0.000 3.797 3.797 3.797 0.000" Properties=species:S:1:pos:R:3 pbc="T T T"
Sr 1.898 1.898 1.898
Sr 5.695 5.695 5.695
H 3.797 3.797 1.734
H 3.797 1.734 3.797
H 5.859 3.797 3.797
H 1.734 3.797 3.797
H 3.797 5.859 3.797
H 3.797 3.797 5.859
Os 0.000 0.000 0.000
```

## Properties
Calculated volume, A^3/atom: 12.16
E_tot, eV/atom: -4.454
Total magnetic moment, Bohr magnetons per cell: 0.0


4.
VASP calculation (PBE) on a relaxed SrH8Os2 crystal.

Cell and atoms, written as extended XYZ:
```
11
Lattice="2.537 -4.027 0.000 2.537 4.027 0.000 -0.594 0.000 5.002" Properties=species:S:1:pos:R:3 pbc="T T T"
Sr 0.000 0.000 0.000
H 1.323 2.004 1.231
H 2.437 2.951 2.384
H 1.824 0.000 4.080
H 2.370 0.000 1.620
H 3.304 1.729 3.754
H 1.323 -2.004 1.231
H 2.437 -2.951 2.384
H 3.304 -1.729 3.754
Os 1.566 1.267 2.676
Os 1.566 -1.267 2.676
```

## Properties
Calculated volume, A^3/atom: 9.29
E_tot, eV/atom: -4.678
Total magnetic moment, Bohr magnetons per cell: 0.0


5.
VASP calculation (PBE) on a relaxed Sr2HOs crystal.

Cell and atoms, written as extended XYZ:
```
16
Lattice="7.153 0.000 0.000 0.000 7.153 0.000 0.000 0.000 7.506" Properties=species:S:1:pos:R:3 pbc="T T T"
Sr 1.316 1.788 0.938
Sr 1.788 4.892 2.815
Sr 1.788 5.837 6.568
Sr 2.261 1.788 4.691
Sr 4.892 5.365 4.691
Sr 5.365 1.316 6.568
Sr 5.365 2.261 2.815
Sr 5.837 5.365 0.938
H 0.000 0.000 0.000
H 0.000 3.576 1.877
H 3.576 0.000 5.630
H 3.576 3.576 3.753
Os 0.000 0.000 3.753
Os 0.000 3.576 5.630
Os 3.576 0.000 1.877
Os 3.576 3.576 0.000
```

## Properties
Calculated volume, A^3/atom: 24.00
Polymorph energy (0 for the lowest one), meV per atom: 0
Total magnetic moment, Bohr magnetons per cell: 4.2


6.
VASP calculation (PBE) on a relaxed Sr2HOs crystal.

Cell and atoms, written as extended XYZ:
```
16
Lattice="7.214 0.000 0.000 0.000 7.214 0.000 0.000 0.000 7.214" Properties=species:S:1:pos:R:3 pbc="T T T"
Sr 1.803 1.803 1.803
Sr 1.803 1.803 5.410
Sr 1.803 5.410 1.803
Sr 1.803 5.410 5.410
Sr 5.410 1.803 1.803
Sr 5.410 1.803 5.410
Sr 5.410 5.410 1.803
Sr 5.410 5.410 5.410
H 0.000 0.000 0.000
H 0.000 3.607 3.607
H 3.607 0.000 3.607
H 3.607 3.607 0.000
Os 0.000 0.000 3.607
Os 0.000 3.607 0.000
Os 3.607 0.000 0.000
Os 3.607 3.607 3.607
```

## Properties
Calculated volume, A^3/atom: 23.46
Polymorph energy (0 for the lowest one), meV per atom: 54
Total magnetic moment, Bohr magnetons per cell: 3.9


7.
VASP calculation (PBE) on a relaxed SrH3Os crystal.

Cell and atoms, written as extended XYZ:
```
5
Lattice="4.242 0.000 0.000 0.000 4.242 0.000 0.000 0.000 4.242" Properties=species:S:1:pos:R:3 pbc="T T T"
Sr 0.000 0.000 0.000
H 0.000 0.000 2.121
H 0.000 2.121 0.000
H 2.121 0.000 0.000
Os 2.121 2.121 2.121
```

## Properties
Calculated volume, A^3/atom: 15.26
E_tot, eV/atom: -3.133
Total magnetic moment, Bohr magnetons per cell: 3.5


8.
VASP calculation (PBE) on a relaxed SrTc2HOs crystal.

Cell and atoms, written as extended XYZ:
```
5
Lattice="4.979 0.000 0.000 0.000 4.979 0.000 0.000 0.000 3.175" Properties=species:S:1:pos:R:3 pbc="T T T"
Sr 0.000 0.000 0.000
Tc 0.000 2.489 0.000
Tc 2.489 0.000 0.000
H 0.000 0.000 1.588
Os 2.489 2.489 1.588
```

## Properties
Calculated volume, A^3/atom: 15.74
E_tot, eV/atom: -5.040
Total magnetic moment, Bohr magnetons per cell: 0.0